Here is a relaxed Tl2CdSb crystal from the Alexandria database. Energies are from PBE.

Calculated values
Volume ... 30.456 A^3/atom
Excess energy over the best structure of this formula in the dataset ... 80 meV/atom
Total DFT energy (no corrections) ... -2.356 eV per atom

Cell lengths 8.8262, 8.8262, 6.9809 Å; angles 50.79, 50.79, 90.00 degrees
Sites, in units of the cell vectors:
Sb 0.7500 0.2500 0.5000
Sb 0.0000 0.0000 0.0000
Tl 0.6381 0.1250 0.2500
Tl 0.1119 0.6250 0.2500
Tl 0.8750 0.8881 0.7500
Tl 0.3750 0.3619 0.7500
Cd 0.2500 0.7500 0.5000
Cd 0.5000 0.5000 0.0000

---

Here is a relaxed PmY7Ho4 crystal from the Alexandria database. Energies are from PBE.

Calculated values
Volume ... 33.198 A^3/atom
Excess energy over the best structure of this formula in the dataset ... 202 meV/atom
Total DFT energy (no corrections) ... -5.404 eV per atom
Energy of formation from the pure elements ... 3.46 eV/f.u.

Cell lengths 5.8651, 11.6305, 6.7107 Å; angles 82.85, 64.09, 75.40 degrees
Sites, in units of the cell vectors:
Y 0.7893 0.9225 0.4988
Y 0.0583 0.6724 0.2111
Y 0.9417 0.3276 0.7889
Y 0.3648 0.5037 0.7668
Y 0.2107 0.0775 0.5012
Y 0.6352 0.4963 0.2332
Y 0.5000 0.0000 0.0000
Ho 0.3648 0.7745 0.4959
Ho 0.7500 0.6840 0.8160
Ho 0.2500 0.3160 0.1840
Ho 0.6352 0.2255 0.5041
Pm 0.0000 0.0000 0.0000

---

Among the records above, which one has the lowest excess energy over the best structure of this formula in the dataset? Tl2CdSb

---

Look up the total DFT energy (no corrections) of the first one. -2.356 eV per atom

---

Among the records above, which one has the highest excess energy over the best structure of this formula in the dataset? PmY7Ho4

---

Among the records above, which one has the highest excess energy over the best structure of this formula in the dataset? PmY7Ho4